Sr5Tl2Sn | GGA-PBE | optimized geometry

extended XYZ file:
```
16
Lattice="-4.3538 4.3538 8.2174 4.3538 -4.3538 8.2174 4.3538 4.3538 -8.2174" Properties=species:S:1:pos:R:3 pbc="T T T"
Sr 0.0000 0.0000 0.0000
Sr 5.8660 1.5122 -2.4170
Sr 1.5122 2.8416 -2.4170
Sr 5.8660 1.5122 2.4170
Sr 1.5122 2.8416 2.4170
Sr 0.0000 0.0000 8.2174
Sr 2.8416 1.5122 5.8004
Sr -1.5122 2.8416 5.8004
Sr 2.8416 1.5122 10.6344
Sr -1.5122 2.8416 10.6344
Tl 3.2858 1.0680 0.0000
Tl 3.2858 -1.0680 8.2174
Tl 1.0680 5.4219 0.0000
Tl 1.0680 3.2858 8.2174
Sn 0.0000 0.0000 4.1087
Sn 0.0000 0.0000 12.3261
```

ΔH_f (0 K): -0.413 eV per atom
Volume: 38.9 A^3/atom
Magnetization: 0.31 μB/f.u.
Mass density: 5.15 Mg/m³


LiHg2Cl | GGA-PBE | optimized geometry

extended XYZ file:
```
4
Lattice="3.4691 0.0000 0.0000 0.0000 3.4637 0.0000 -1.6440 0.0000 9.5160" Properties=species:S:1:pos:R:3 pbc="T T T"
Li 0.0000 0.0000 0.0000
Hg -0.1555 1.7318 3.6528
Hg 1.5720 0.0000 6.2063
Cl 1.7313 1.7318 0.0524
```

Raw formation energy: -0.824 eV/atom
Polymorph energy (0 for the lowest one): 0.0072 eV per atom
Volume: 28.6 A^3/atom
Magnetization: 0.00 μB/f.u.
Mass density: 6.44 Mg/m³